DFT (meta-GGA SCAN) results for a crystal of LiAlMo2O8 relaxed with PBEsol.

## Properties
The total energy is -13.263 eV/atom. The volume comes out at 12.34 Å³ per atom. The calculation puts the uncorrected formation energy at -2.449 eV/atom.

Cell lengths 6.614, 7.066, 7.085 Å; angles 90.73, 110.59, 105.72 degrees
Space group P-1 (No. 2)
Asymmetric unit:
Li (0.232, 0.054, 0.241)
Al (0.406, 0.599, 0.825)
Mo (0.180, 0.536, 0.280)
Mo (0.337, 0.078, 0.792)
O (0.091, 0.984, 0.834)
O (0.119, 0.550, 0.849)
O (0.248, 0.546, 0.544)
O (0.255, 0.073, 0.535)
O (0.287, 0.777, 0.234)
O (0.317, 0.370, 0.224)
O (0.418, 0.347, 0.888)
O (0.475, 0.875, 0.851)

---

DFT (meta-GGA SCAN) results for a crystal of Rb3Li2AlMo4O16 relaxed with PBEsol.

## Properties
The total energy is -14.460 eV/atom. The volume comes out at 15.72 Å³ per atom. The calculation puts the uncorrected formation energy at -2.383 eV/atom.

Cell lengths 11.785, 11.785, 11.772 Å; angles 90.00, 90.00, 90.00 degrees
Space group I-42d (No. 122)
Asymmetric unit:
Rb (0.000, 0.000, 0.000)
Rb (0.138, 0.250, 0.625)
Li (0.125, 0.750, 0.125)
Al (0.000, 0.000, 0.500)
Mo (0.104, 0.141, 0.271)
O (0.029, 0.646, 0.044)
O (0.059, 0.692, 0.436)
O (0.073, 0.596, 0.663)
O (0.165, 0.224, 0.973)